This record from Alexandria via LeMat-Bulk describes a geometry-optimized Cu2SnPd5 structure. The functional is PBE-GGA.

Summary:
SG: No. 107
Calculated formation energy, kJ/mol of formula units: -196
V, Å³/atom: 15.4

Cell lengths 6.457, 6.457, 5.899 Å; angles 90.00, 90.00, 90.00 degrees
Element x y z (fractional)
Cu 0.000 0.500 0.000
Cu 0.000 0.500 0.500
Cu 0.500 0.000 0.000
Cu 0.500 0.000 0.500
Sn 0.000 0.000 0.499
Sn 0.500 0.500 0.999
Pd 0.000 0.000 0.000
Pd 0.250 0.250 0.250
Pd 0.250 0.250 0.750
Pd 0.250 0.750 0.250
Pd 0.250 0.750 0.750
Pd 0.500 0.500 0.500
Pd 0.750 0.250 0.250
Pd 0.750 0.250 0.750
Pd 0.750 0.750 0.250
Pd 0.750 0.750 0.750

This record from Alexandria via LeMat-Bulk describes a geometry-optimized CuSbPb structure. The functional is PBE-GGA.

Summary:
SG: No. 11
ΔE_f (raw), meV/atom: 94
V, Å³/atom: 23.7

Cell lengths 3.852, 4.164, 9.032 Å; angles 90.00, 101.06, 90.00 degrees
Element x y z (fractional)
Cu 0.031 0.250 0.081
Cu 0.969 0.750 0.919
Sb 0.422 0.250 0.850
Sb 0.578 0.750 0.150
Pb 0.202 0.250 0.399
Pb 0.798 0.750 0.601

This record from Alexandria via LeMat-Bulk describes a geometry-optimized Bi2MoAsP structure. The functional is PBE-GGA.

Summary:
SG: No. 123
Calculated formation energy, kJ/mol of formula units: 574
V, Å³/atom: 29.1

Cell lengths 5.538, 5.538, 4.743 Å; angles 90.00, 90.00, 90.00 degrees
Element x y z (fractional)
Bi 0.000 0.500 0.000
Bi 0.500 0.000 0.000
Mo 0.000 0.000 0.500
As 0.000 0.000 0.000
P 0.500 0.500 0.500

This record from Alexandria via LeMat-Bulk describes a geometry-optimized Mg4CdIn7 structure. The functional is PBE-GGA.

Summary:
SG: No. 164
Calculated formation energy, kJ/mol of formula units: -34
V, Å³/atom: 24.7

Cell lengths 3.388, 3.388, 29.761 Å; angles 90.00, 90.00, 120.00 degrees
Element x y z (fractional)
Mg 0.333 0.667 0.169
Mg 0.333 0.667 0.417
Mg 0.667 0.333 0.583
Mg 0.667 0.333 0.831
Cd 0.000 0.000 0.000
In 0.000 0.000 0.250
In 0.000 0.000 0.500
In 0.000 0.000 0.750
In 0.333 0.667 0.664
In 0.333 0.667 0.915
In 0.667 0.333 0.085
In 0.667 0.333 0.336

This record from Alexandria via LeMat-Bulk describes a geometry-optimized V2Ni3Ir structure. The functional is PBE-GGA.

Summary:
SG: No. 141
Calculated formation energy, kJ/mol of formula units: -24
V, Å³/atom: 13.1

Cell lengths 7.584, 7.584, 7.584 Å; angles 118.41, 118.41, 92.78 degrees
Element x y z (fractional)
V 0.277 0.348 0.571
V 0.277 0.706 0.929
V 0.294 0.723 0.571
V 0.348 0.277 0.071
V 0.652 0.723 0.929
V 0.706 0.277 0.429
V 0.723 0.294 0.071
V 0.723 0.652 0.429
Ni 0.000 0.500 0.500
Ni 0.093 0.343 0.185
Ni 0.093 0.907 0.750
Ni 0.343 0.093 0.685
Ni 0.343 0.657 0.250
Ni 0.500 0.000 0.000
Ni 0.500 0.500 0.000
Ni 0.500 0.500 0.500
Ni 0.657 0.343 0.750
Ni 0.657 0.907 0.315
Ni 0.907 0.093 0.250
Ni 0.907 0.657 0.815
Ir 0.075 0.325 0.750
Ir 0.325 0.075 0.250
Ir 0.675 0.925 0.750
Ir 0.925 0.675 0.250

This record from Alexandria via LeMat-Bulk describes a geometry-optimized Ac12LaDy6 structure. The functional is PBE-GGA.

Summary:
SG: No. 166
Calculated formation energy, kJ/mol of formula units: 373
V, Å³/atom: 41.9

Cell lengths 9.377, 9.377, 9.377 Å; angles 98.35, 98.35, 98.35 degrees
Element x y z (fractional)
Ac 0.000 0.263 0.737
Ac 0.000 0.737 0.263
Ac 0.170 0.588 0.588
Ac 0.263 0.000 0.737
Ac 0.263 0.737 0.000
Ac 0.412 0.412 0.830
Ac 0.412 0.830 0.412
Ac 0.588 0.170 0.588
Ac 0.588 0.588 0.170
Ac 0.737 0.000 0.263
Ac 0.737 0.263 0.000
Ac 0.830 0.412 0.412
La 0.000 0.000 0.000
Dy 0.143 0.143 0.401
Dy 0.143 0.401 0.143
Dy 0.401 0.143 0.143
Dy 0.599 0.857 0.857
Dy 0.857 0.599 0.857
Dy 0.857 0.857 0.599